Entry 1:
# HoAg2Hg4, relaxed, DFT PBE
data_HoAg2Hg4
_cell_length_a 4.8965
_cell_length_b 4.8965
_cell_length_c 6.9607
_cell_angle_alpha 90.00
_cell_angle_beta 90.00
_cell_angle_gamma 90.00
_symmetry_space_group_name_H-M 'P 1'
_symmetry_Int_Tables_number 1
_symmetry_space_group_name_Hall 'P 1'
loop_
_atom_site_label
_atom_site_fract_x
_atom_site_fract_y
_atom_site_fract_z
_atom_site_occupancy
Ho1 0.5000 0.5000 0.0000 1
Ag1 0.0000 0.0000 0.0000 1
Ag2 0.5000 0.5000 0.5000 1
Hg1 0.5000 0.0000 0.2739 1
Hg2 0.0000 0.5000 0.7261 1
Hg3 0.5000 0.0000 0.7261 1
Hg4 0.0000 0.5000 0.2739 1
# energy of formation from the pure elements	-0.1547	eV/atom
# total energy	-1.796	eV/atom

=====

Entry 2:
# Ho3AgHg, relaxed, DFT PBE
data_Ho3AgHg
_cell_length_a 5.1628
_cell_length_b 5.1629
_cell_length_c 10.1143
_cell_angle_alpha 90.00
_cell_angle_beta 75.21
_cell_angle_gamma 90.00
_symmetry_space_group_name_H-M 'P 1'
_symmetry_Int_Tables_number 1
_symmetry_space_group_name_Hall 'P 1'
loop_
_atom_site_label
_atom_site_fract_x
_atom_site_fract_y
_atom_site_fract_z
_atom_site_occupancy
Ho1 0.7616 0.2500 0.1251 1
Ho2 0.3876 0.2500 0.8731 1
Ho3 0.5746 0.2500 0.4991 1
Ho4 0.2607 0.7500 0.1269 1
Ho5 0.8867 0.7500 0.8749 1
Ho6 0.0737 0.7500 0.5009 1
Ag1 0.4820 0.7500 0.6843 1
Ag2 0.1663 0.2500 0.3157 1
Hg1 0.6688 0.7500 0.3107 1
Hg2 0.9795 0.2500 0.6893 1
# energy of formation from the pure elements	-0.3009	eV/atom
# energy above the lowest structure with this stoichiometry	0.000	eV per atom
# total energy	-3.678	eV/atom

=====

Entry 3:
# Ho4InAg2Hg, relaxed, DFT PBE
data_Ho4InAg2Hg
_cell_length_a 5.2043
_cell_length_b 5.2043
_cell_length_c 9.0061
_cell_angle_alpha 73.21
_cell_angle_beta 73.21
_cell_angle_gamma 60.00
_symmetry_space_group_name_H-M 'P 1'
_symmetry_Int_Tables_number 1
_symmetry_space_group_name_Hall 'P 1'
loop_
_atom_site_label
_atom_site_fract_x
_atom_site_fract_y
_atom_site_fract_z
_atom_site_occupancy
Ho1 0.3770 0.3770 0.8690 1
Ho2 0.8731 0.8731 0.3807 1
Ho3 0.1269 0.1269 0.6193 1
Ho4 0.6230 0.6230 0.1310 1
In1 0.0000 0.0000 0.0000 1
Ag1 0.7474 0.7474 0.7578 1
Ag2 0.2526 0.2526 0.2422 1
Hg1 0.5000 0.5000 0.5000 1
# energy of formation from the pure elements	-0.4038	eV/atom
# total energy	-3.785	eV/atom

=====

Entry 4:
# LaHoAgHg, relaxed, DFT PBE
data_LaHoAgHg
_cell_length_a 5.3349
_cell_length_b 5.3349
_cell_length_c 5.3349
_cell_angle_alpha 60.00
_cell_angle_beta 60.00
_cell_angle_gamma 60.00
_symmetry_space_group_name_H-M 'P 1'
_symmetry_Int_Tables_number 1
_symmetry_space_group_name_Hall 'P 1'
loop_
_atom_site_label
_atom_site_fract_x
_atom_site_fract_y
_atom_site_fract_z
_atom_site_occupancy
La1 0.5000 0.5000 0.5000 1
Hg1 0.7500 0.7500 0.7500 1
Ag1 0.2500 0.2500 0.2500 1
Ho1 0.0000 0.0000 0.0000 1
# energy of formation from the pure elements	-0.3762	eV/atom
# energy above the lowest structure with this stoichiometry	0.013	eV per atom
# total energy	-3.541	eV/atom

=====

Entry 5:
# LaHoAgHg, relaxed, DFT PBE
data_LaHoAgHg
_cell_length_a 3.7236
_cell_length_b 3.7236
_cell_length_c 7.6793
_cell_angle_alpha 90.00
_cell_angle_beta 90.00
_cell_angle_gamma 90.00
_symmetry_space_group_name_H-M 'P 1'
_symmetry_Int_Tables_number 1
_symmetry_space_group_name_Hall 'P 1'
loop_
_atom_site_label
_atom_site_fract_x
_atom_site_fract_y
_atom_site_fract_z
_atom_site_occupancy
La1 0.5000 0.5000 0.1103 1
Ho1 0.5000 0.5000 0.5989 1
Ag1 0.0000 0.0000 0.3862 1
Hg1 0.0000 0.0000 0.8326 1
# energy of formation from the pure elements	-0.3891	eV/atom
# energy above the lowest structure with this stoichiometry	0.000	eV per atom
# total energy	-3.554	eV/atom

=====

Entry 6:
# LaHo2AgHg4, relaxed, DFT PBE
data_LaHo2AgHg4
_cell_length_a 5.0836
_cell_length_b 5.0836
_cell_length_c 9.6159
_cell_angle_alpha 74.67
_cell_angle_beta 74.67
_cell_angle_gamma 60.00
_symmetry_space_group_name_H-M 'P 1'
_symmetry_Int_Tables_number 1
_symmetry_space_group_name_Hall 'P 1'
loop_
_atom_site_label
_atom_site_fract_x
_atom_site_fract_y
_atom_site_fract_z
_atom_site_occupancy
La1 0.0000 0.0000 0.0000 1
Ho1 0.7627 0.7627 0.7120 1
Ho2 0.2373 0.2373 0.2880 1
Ag1 0.5000 0.5000 0.5000 1
Hg1 0.3847 0.3847 0.8460 1
Hg2 0.8747 0.8747 0.3760 1
Hg3 0.1253 0.1253 0.6240 1
Hg4 0.6153 0.6153 0.1540 1
# energy of formation from the pure elements	-0.3741	eV/atom
# total energy	-2.642	eV/atom

=====

Entry 7:
# LiHo2AgHg4, relaxed, DFT PBE
data_LiHo2AgHg4
_cell_length_a 5.0029
_cell_length_b 5.0029
_cell_length_c 8.6535
_cell_angle_alpha 73.20
_cell_angle_beta 73.20
_cell_angle_gamma 60.00
_symmetry_space_group_name_H-M 'P 1'
_symmetry_Int_Tables_number 1
_symmetry_space_group_name_Hall 'P 1'
loop_
_atom_site_label
_atom_site_fract_x
_atom_site_fract_y
_atom_site_fract_z
_atom_site_occupancy
Li1 0.5000 0.5000 0.5000 1
Ho1 0.7472 0.7472 0.7585 1
Ho2 0.2528 0.2528 0.2415 1
Ag1 0.0000 0.0000 0.0000 1
Hg1 0.3788 0.3788 0.8635 1
Hg2 0.8715 0.8715 0.3854 1
Hg3 0.1285 0.1285 0.6146 1
Hg4 0.6212 0.6212 0.1365 1
# energy of formation from the pure elements	-0.3849	eV/atom
# total energy	-2.276	eV/atom

=====

Entry 8:
# Li2HoAgHg4, relaxed, DFT PBE
data_Li2HoAgHg4
_cell_length_a 4.7481
_cell_length_b 4.7481
_cell_length_c 9.1193
_cell_angle_alpha 74.91
_cell_angle_beta 74.91
_cell_angle_gamma 60.00
_symmetry_space_group_name_H-M 'P 1'
_symmetry_Int_Tables_number 1
_symmetry_space_group_name_Hall 'P 1'
loop_
_atom_site_label
_atom_site_fract_x
_atom_site_fract_y
_atom_site_fract_z
_atom_site_occupancy
Li1 0.7644 0.7644 0.7067 1
Li2 0.2356 0.2356 0.2933 1
Ho1 0.0000 0.0000 0.0000 1
Ag1 0.5000 0.5000 0.5000 1
Hg1 0.3870 0.3870 0.8389 1
Hg2 0.8781 0.8781 0.3656 1
Hg3 0.1219 0.1219 0.6344 1
Hg4 0.6130 0.6130 0.1611 1
# energy of formation from the pure elements	-0.2827	eV/atom
# total energy	-1.841	eV/atom